Cs2Ag after structural relaxation. Source: the Alexandria database, functional PBE-GGA.

Unit cell a=4.6595 b=4.6595 c=9.6021 alpha=103.93 beta=103.93 gamma=89.97
With the nearest neighbours (Å) after each atom.
Atoms (fractional coordinates):
Cs (0.1189, 0.1189, 0.2393)  4 Ag 3.94, 1 Cs 4.32
Cs (0.8811, 0.8811, 0.7607)  4 Ag 3.94, 1 Cs 4.32
Ag (0.5000, 0.5000, 0.0000)  8 Cs 3.94

Values from the calculation:
The energy above the most stable polymorph in this dataset is 30.1 meV per atom. The formation enthalpy at 0 K is 43 meV per atom. For the density of states at the Fermi level, the calculation gives 2.507 states/eV per cell.